A relaxed structure of ZnSi2Ni, computed with PBE.

Lattice parameters (Å, degrees): 7.5917 7.5917 7.5917 22.22 22.22 22.22
With the nearest neighbours (Å) after each atom.
Fractional coordinates of all 4 atoms:
1 Ni 0.2566 0.2566 0.2566  3 Si 2.32, 3 Zn 2.56
2 Si 0.9951 0.9951 0.9951  3 Ni 2.32, 3 Si 2.51
3 Si 0.7452 0.7452 0.7452  3 Si 2.51, 3 Zn 2.64
4 Zn 0.5031 0.5031 0.5031  3 Ni 2.56, 3 Si 2.64

ΔE_f (raw)   0.034 eV per atom

***

A relaxed structure of Be2CoAs, computed with PBE.

Lattice parameters (Å, degrees): 4.2864 4.2864 4.2864 132.85 132.85 68.89
With the nearest neighbours (Å) after each atom.
Fractional coordinates of all 4 atoms:
1 Be 0.0000 0.0000 0.0000  4 Co 2.42, 4 As 2.46, 4 Be 2.46
2 Be 0.2500 0.7500 0.5000  4 As 2.42, 4 Be 2.46, 4 Co 2.46
3 As 0.7500 0.2500 0.5000  8 Be 2.42-2.46, 4 Co 2.46
4 Co 0.5000 0.5000 0.0000  8 Be 2.42-2.46, 4 As 2.46

Energy of formation   -0.011 eV per atom

***

A relaxed structure of Ce2ZnTc3, computed with PBE.

Lattice parameters (Å, degrees): 5.2329 5.2329 5.4709 93.70 118.74 115.46
With the nearest neighbours (Å) after each atom.
Fractional coordinates of all 6 atoms:
1 Ce 0.7484 0.3875 0.1359  9 Tc 3.00-3.27, 3 Zn 3.07-3.19, 2 Ce 3.08-3.29
2 Ce 0.2516 0.6125 0.8641  9 Tc 3.00-3.27, 3 Zn 3.07-3.19, 2 Ce 3.08-3.29
3 Zn 0.0000 0.0000 0.0000  6 Tc 2.73-2.74
4 Tc 0.5000 0.5000 0.5000  4 Tc 2.62-2.79, 2 Zn 2.74
5 Tc 0.0000 0.0000 0.5000  4 Tc 2.62-2.79, 2 Zn 2.74
6 Tc 0.5000 0.0000 0.5000  4 Tc 2.62, 2 Zn 2.73

Energy of formation   -0.165 eV per atom

***

Please write out number 3 again, unchanged.
A relaxed structure of Ce2ZnTc3, computed with PBE.

Lattice parameters (Å, degrees): 5.2329 5.2329 5.4709 93.70 118.74 115.46
With the nearest neighbours (Å) after each atom.
Fractional coordinates of all 6 atoms:
1 Ce 0.7484 0.3875 0.1359  9 Tc 3.00-3.27, 3 Zn 3.07-3.19, 2 Ce 3.08-3.29
2 Ce 0.2516 0.6125 0.8641  9 Tc 3.00-3.27, 3 Zn 3.07-3.19, 2 Ce 3.08-3.29
3 Zn 0.0000 0.0000 0.0000  6 Tc 2.73-2.74
4 Tc 0.5000 0.5000 0.5000  4 Tc 2.62-2.79, 2 Zn 2.74
5 Tc 0.0000 0.0000 0.5000  4 Tc 2.62-2.79, 2 Zn 2.74
6 Tc 0.5000 0.0000 0.5000  4 Tc 2.62, 2 Zn 2.73

Energy of formation   -0.165 eV per atom